VASP calculation (PBE-GGA) on a geometry-optimized La7Br structure.

The structure belongs to space group Fm-3m (No. 225); the cell edges are 10.264, 10.264 and 10.264 Å and the angles 90.00°, 90.00° and 90.00°. The inequivalent atoms are La at (0.000, 0.000, 0.000), La at (0.000, 0.250, 0.250) and Br at (0.000, 0.000, 0.500).

The total energy is -37.2 eV/f.u. The uncorrected formation energy is -0.125 eV per atom.